No. 1
Crystalline Li4TbAg2 at its relaxed geometry. Source: the Alexandria database, functional PBE.

Summary:
- density of states at the Fermi level (states/eV per cell) = 6.20
- calculated total energy (eV/atom) = -2.705

a b c (Å): 3.9580 17.8518 4.0151
angles (deg): 90.00 90.00 90.00
Space group Cmmm (No. 65)
Unique sites:
Li1 0.0000 0.1802 0.0000 x4
Li2 0.0000 0.3161 0.5000 x4
Tb1 0.0000 0.5000 0.0000 x2
Ag1 0.0000 0.0793 0.5000 x4

No. 2
Crystalline Li2TbAg at its relaxed geometry. Source: the Alexandria database, functional PBE.

Summary:
- density of states at the Fermi level (states/eV per cell) = 2.00
- calculated total energy (eV/atom) = -2.848
- energy above the most stable polymorph in this dataset (meV/atom) = 18

a b c (Å): 3.3444 3.3444 7.3254
angles (deg): 90.00 90.00 90.00
Space group P4/mmm (No. 123)
Unique sites:
Li1 0.0000 0.0000 0.1872 x2
Tb1 0.5000 0.5000 0.5000 x1
Ag1 0.5000 0.5000 0.0000 x1

No. 3
Crystalline Li3Tb2Ag4 at its relaxed geometry. Source: the Alexandria database, functional PBE.

Summary:
- density of states at the Fermi level (states/eV per cell) = 23.24
- calculated total energy (eV/atom) = -3.123

a b c (Å): 5.7959 15.6772 7.9527
angles (deg): 90.00 90.00 90.00
Space group Cmce (No. 64)
Unique sites:
Li1 0.0000 0.0000 0.0000 x4
Li2 0.2500 0.2209 0.2500 x8
Tb1 0.0000 0.1106 0.5911 x8
Ag1 0.0000 0.1812 0.9705 x8
Ag2 0.2500 0.0543 0.2500 x8

No. 4
Crystalline Li3TbAg2 at its relaxed geometry. Source: the Alexandria database, functional PBE.

Summary:
- density of states at the Fermi level (states/eV per cell) = 13.51
- calculated total energy (eV/atom) = -2.845

a b c (Å): 14.4456 4.1761 9.2450
angles (deg): 90.00 122.96 90.00
Space group C2/m (No. 12)
Unique sites:
Li1 0.0648 0.0000 0.4081 x4
Li2 0.0741 0.5000 0.6844 x4
Li3 0.2325 0.5000 0.5769 x4
Tb1 0.1275 0.0000 0.0032 x4
Ag1 0.0756 0.5000 0.2048 x4
Ag2 0.2043 0.0000 0.7494 x4